VASP calculation (PBE-GGA) on crystalline Pu2Ag3O9 at its relaxed geometry.

## Properties
* energy relative to the elements, uncorrected: -1417 meV/atom
* space group: C2/c, No. 15
* uncorrected energy: -203.4 eV/cell

Cell and atoms, written as POSCAR:
```
Pu2Ag3O9
1.0
5.546 -5.515 0.000
5.546 5.515 0.000
-4.054 0.000 7.027
Pu Ag O
4 6 18
Cartesian
0.847 0.115 2.514 Pu
-1.180 -0.115 6.027 Pu
8.219 0.115 0.999 Pu
6.192 -0.115 4.513 Pu
3.431 2.965 2.761 Ag
5.635 2.965 0.753 Ag
2.506 0.934 5.270 Ag
4.533 -0.934 1.757 Ag
1.404 -2.965 6.274 Ag
3.609 -2.965 4.266 Ag
1.106 3.921 5.467 O
4.533 4.585 1.757 O
-0.229 0.742 4.259 O
-0.697 1.378 6.947 O
3.907 3.921 5.074 O
1.798 -0.742 0.746 O
2.560 1.096 3.182 O
1.330 -1.378 3.434 O
0.533 -1.096 6.695 O
6.506 1.096 0.332 O
5.709 1.378 3.593 O
4.479 -1.096 3.845 O
5.241 0.742 6.281 O
3.132 -3.921 1.953 O
7.736 -1.378 0.079 O
7.268 -0.742 2.768 O
2.506 -4.585 5.270 O
5.934 -3.921 1.560 O
```